Compound: BaTl2Mo3F12
Source: Alexandria via LeMat-Bulk
Functional: GGA+U
Structure: relaxed

Lattice parameters (Å, degrees): 7.779 7.779 7.779 59.85 59.85 59.85
Fractional coordinates of all 18 atoms:
Ba  0.000  0.000  0.000
Tl  0.367  0.367  0.367
Tl  0.633  0.633  0.633
Mo  0.000  0.000  0.500
Mo  0.000  0.500  0.000
Mo  0.500  0.000  0.000
F  0.129  0.129  0.572
F  0.129  0.572  0.129
F  0.135  0.729  0.729
F  0.271  0.271  0.865
F  0.271  0.865  0.271
F  0.428  0.871  0.871
F  0.572  0.129  0.129
F  0.729  0.135  0.729
F  0.729  0.729  0.135
F  0.865  0.271  0.271
F  0.871  0.428  0.871
F  0.871  0.871  0.428

Properties
spin magnetization = 8.0 Bohr magnetons per cell
total energy = -0.1938 Ha/atom

---

Compound: BaVMoF2
Source: Alexandria via LeMat-Bulk
Functional: GGA+U
Structure: relaxed

Lattice parameters (Å, degrees): 4.813 4.813 8.502 90.00 90.00 90.00
Fractional coordinates of all 5 atoms:
Ba  0.000  0.000  0.000
V  0.000  0.000  0.500
Mo  0.500  0.500  0.500
F  0.000  0.500  0.000
F  0.500  0.000  0.000

Properties
spin magnetization = 1.2 Bohr magnetons per cell
total energy = -0.1747 Ha/atom

---

Compound: BaZnMoF7
Source: Alexandria via LeMat-Bulk
Functional: GGA+U
Structure: relaxed

Lattice parameters (Å, degrees): 5.806 10.286 9.938 90.00 92.69 90.00
Fractional coordinates of all 40 atoms:
Ba  0.236  0.173  0.006
Ba  0.236  0.327  0.506
Ba  0.764  0.673  0.494
Ba  0.764  0.827  0.994
Zn  0.187  0.606  0.808
Zn  0.187  0.894  0.308
Zn  0.813  0.106  0.692
Zn  0.813  0.394  0.192
Mo  0.305  0.609  0.184
Mo  0.305  0.891  0.684
Mo  0.695  0.109  0.316
Mo  0.695  0.391  0.816
F  0.010  0.710  0.246
F  0.010  0.790  0.746
F  0.097  0.541  0.628
F  0.097  0.959  0.128
F  0.135  0.064  0.624
F  0.135  0.436  0.124
F  0.237  0.697  0.993
F  0.237  0.803  0.493
F  0.373  0.047  0.379
F  0.373  0.453  0.879
F  0.398  0.539  0.374
F  0.398  0.961  0.874
F  0.473  0.718  0.745
F  0.473  0.782  0.245
F  0.527  0.218  0.755
F  0.527  0.282  0.255
F  0.602  0.039  0.126
F  0.602  0.461  0.626
F  0.627  0.547  0.121
F  0.627  0.953  0.621
F  0.763  0.197  0.507
F  0.763  0.303  0.007
F  0.865  0.564  0.876
F  0.865  0.936  0.376
F  0.903  0.041  0.872
F  0.903  0.459  0.372
F  0.990  0.210  0.254
F  0.990  0.290  0.754

Properties
spin magnetization = 12.0 Bohr magnetons per cell
total energy = -0.1926 Ha/atom

---

Compound: Ba2ZrMoF
Source: Alexandria via LeMat-Bulk
Functional: GGA+U
Structure: relaxed

Lattice parameters (Å, degrees): 6.553 6.553 5.068 90.00 90.00 90.00
Fractional coordinates of all 5 atoms:
Ba  0.000  0.500  0.000
Ba  0.500  0.000  0.000
Zr  0.000  0.000  0.000
Mo  0.000  0.000  0.500
F  0.500  0.500  0.500

Properties
spin magnetization = 1.0 Bohr magnetons per cell
total energy = -0.1416 Ha/atom